First-principles (SCAN) data for BaSbOs2 at its PBEsol-relaxed geometry, as listed in Alexandria via LeMat-Bulk.

a = 9.4893 Å, b = 9.4893 Å, c = 9.4893 Å
α = 19.30°, β = 19.30°, γ = 19.30°
Atoms (fractional coordinates):
1 Ba 0.0000 0.0000 0.0000
2 Sb 0.5000 0.5000 0.5000
3 Os 0.2352 0.2352 0.2352
4 Os 0.7648 0.7648 0.7648

Space group: R-3m, No. 166
ΔE_f (raw): 1.1509 eV per atom